Entry from the Alexandria database: a relaxed structure of MgNp2N4 (PBE).

Its total magnetization is 32.01 Bohr magnetons per cell. The calculation puts the formation energy from raw total energies at -0.86 eV per atom.

It has space group Fd-3m (No. 227, origin choice 2), with a = 9.5262 Å, b = 9.5262 Å, c = 9.5262 Å, α = 90.00°, β = 90.00° and γ = 90.00°. Symmetry generates all atoms from Mg at (0.1250, 0.1250, 0.1250), Np at (0.0000, 0.0000, 0.5000) and N at (0.0154, 0.0154, 0.7346).

Entry from the Alexandria database: a relaxed structure of MgNpN2 (PBE).

Its total magnetization is 2.91 Bohr magnetons per cell. The calculation puts the formation energy from raw total energies at -0.49 eV per atom.

It has space group R-3m (No. 166, hexagonal axes), with a = 3.3233 Å, b = 3.3233 Å, c = 17.9269 Å, α = 90.00°, β = 90.00° and γ = 120.00°. Symmetry generates all atoms from Mg at (0.0000, 0.0000, 0.0000), Np at (0.0000, 0.0000, 0.5000) and N at (0.0000, 0.0000, 0.3970).

Entry from the Alexandria database: a relaxed structure of MgNpP2N6 (PBE).

Its total magnetization is 4.00 Bohr magnetons per cell. The calculation puts the formation energy from raw total energies at -0.66 eV per atom.

It has space group C2/c (No. 15), with a = 9.8912 Å, b = 9.1028 Å, c = 5.1473 Å, α = 90.00°, β = 104.99° and γ = 90.00°. Symmetry generates all atoms from Mg at (0.0000, 0.0864, 0.2500), Np at (0.0000, 0.2919, 0.7500), P at (0.2102, 0.4146, 0.2676), N at (0.1208, 0.2704, 0.1260), N at (0.1221, 0.1046, 0.6514) and N at (0.1514, 0.4546, 0.5347).

Entry from the Alexandria database: a relaxed structure of Mg2NpPaN4 (PBE).

Its total magnetization is 4.02 Bohr magnetons per cell. The calculation puts the formation energy from raw total energies at -1.07 eV per atom.

It has space group P2/m (No. 10), with a = 5.6705 Å, b = 3.4359 Å, c = 5.9133 Å, α = 90.00°, β = 110.61° and γ = 90.00°. Symmetry generates all atoms from Mg at (0.0000, 0.0000, 0.0000), Mg at (0.0000, 0.5000, 0.5000), Np at (0.5000, 0.0000, 0.5000), Pa at (0.5000, 0.5000, 0.0000), N at (0.2524, 0.0000, 0.7576) and N at (0.2559, 0.5000, 0.2507).

Entry from the Alexandria database: a relaxed structure of Pm2Mg3NpN6 (PBE).

Its total magnetization is 2.00 Bohr magnetons per cell. The calculation puts the formation energy from raw total energies at -1.05 eV per atom.

It has space group C2/m (No. 12), with a = 5.9475 Å, b = 10.5346 Å, c = 5.5757 Å, α = 90.00°, β = 109.62° and γ = 90.00°. Symmetry generates all atoms from Pm at (0.0000, 0.1686, 0.0000), Mg at (0.0000, 0.0000, 0.5000), Mg at (0.0000, 0.3542, 0.5000), Np at (0.0000, 0.5000, 0.0000), N at (0.2252, 0.3521, 0.2442) and N at (0.2308, 0.5000, 0.7640).

Entry from the Alexandria database: a relaxed structure of Pr3Mg2NpN6 (PBE).

Its total magnetization is 2.83 Bohr magnetons per cell. The calculation puts the formation energy from raw total energies at -1.03 eV per atom.

It has space group C2/m (No. 12), with a = 5.9732 Å, b = 10.4289 Å, c = 6.0581 Å, α = 90.00°, β = 108.45° and γ = 90.00°. Symmetry generates all atoms from Pr at (0.0000, 0.0000, 0.0000), Pr at (0.0000, 0.3280, 0.0000), Mg at (0.0000, 0.1675, 0.5000), Np at (0.0000, 0.5000, 0.5000), N at (0.2279, 0.5000, 0.2719) and N at (0.2300, 0.3463, 0.7214).

Entry from the Alexandria database: a relaxed structure of Pu2MgNpN4 (PBE).

Its total magnetization is 2.30 Bohr magnetons per cell. The calculation puts the formation energy from raw total energies at -1.01 eV per atom.

It has space group P2/m (No. 10), with a = 5.7669 Å, b = 3.4445 Å, c = 5.9054 Å, α = 90.00°, β = 108.64° and γ = 90.00°. Symmetry generates all atoms from Pu at (0.0000, 0.0000, 0.0000), Pu at (0.5000, 0.5000, 0.0000), Mg at (0.0000, 0.5000, 0.5000), Np at (0.5000, 0.0000, 0.5000), N at (0.2550, 0.5000, 0.2662) and N at (0.2623, 0.0000, 0.7422).

Entry from the Alexandria database: a relaxed structure of SmMg2NpN4 (PBE).

Its total magnetization is 2.00 Bohr magnetons per cell. The calculation puts the formation energy from raw total energies at -1.03 eV per atom.

It has space group P2/m (No. 10), with a = 5.5974 Å, b = 3.4226 Å, c = 5.9577 Å, α = 90.00°, β = 110.63° and γ = 90.00°. Symmetry generates all atoms from Sm at (0.0000, 0.0000, 0.0000), Mg at (0.5000, 0.0000, 0.5000), Mg at (0.5000, 0.5000, 0.0000), Np at (0.0000, 0.5000, 0.5000), N at (0.2341, 0.5000, 0.2816) and N at (0.2523, 0.0000, 0.7404).